The following is a DFT calculation (PBE) of an optimized crystal structure of Re2TcPt.

a b c (Å): 4.8098 4.8098 2.7441
angles (deg): 90.00 90.00 110.08
Atoms (fractional coordinates):
Tc 0.5000 0.0000 0.5000
Re 0.0000 0.0000 0.0000
Re 0.5000 0.5000 0.0000
Pt 0.0000 0.5000 0.5000

## Properties
- Energy relative to the elements: -0.5 kJ/mol of atoms
- DFT total energy: -10.3305 eV per atom
- Total magnetization: 0.000 μB per atom